# Th4C2Se5

Crystalline Th4C2Se5 at its relaxed geometry (GGA-PBE, OQMD via LeMat-Bulk).

Values from the calculation:
total energy	-80.46	eV/f.u.
M_tot	0.08	μB/cell

Structure (extended XYZ):
```
11
Lattice="-2.0744 3.8315 8.7083 2.0744 -3.8315 8.7083 2.0744 3.8315 -8.7083" Properties=species:S:1:pos:R:3 pbc="T T T"
C 0.0000 0.0000 0.7062
C 0.0000 0.0000 16.7104
Se 0.0000 1.7634 5.7938
Se 0.0000 1.7634 11.6228
Se 0.0000 3.8315 0.0000
Se 2.0744 2.0681 -2.9145
Se 2.0744 2.0681 2.9145
Th 0.0000 0.0000 3.1390
Th 0.0000 0.0000 14.2776
Th 0.0000 2.1416 8.7083
Th 2.0744 1.6899 0.0000
```